No. 1
Here is a relaxed PtRh2Au crystal from the Alexandria database. Energies are from PBE.

The calculation puts the density of states at the Fermi level at 7.14 states/eV/f.u. As for the energy above the most stable polymorph in this dataset: 4.83 kJ per mole of atoms. The calculation puts the formation energy at 108 meV/atom.

Cell: 4.8338 4.8338 4.8580 Å, 79.72 79.72 33.76°
Positions (direct):
Au (0.4983, 0.4983, 0.5010)
Rh (0.7433, 0.7433, 0.7630)
Rh (0.0031, 0.0031, 0.9946)
Pt (0.2553, 0.2553, 0.2415)

No. 2
Here is a relaxed SrCa5Au6 crystal from the Alexandria database. Energies are from PBE.

The calculation puts the density of states at the Fermi level at 8.06 states/eV/f.u. The calculation puts the formation energy at -770 meV/atom.

Cell: 5.1870 7.3931 8.1987 Å, 90.00 108.80 90.00°
Positions (direct):
Sr (0.0000, 0.0000, 0.0000)
Ca (0.6666, 0.5000, 0.3327)
Ca (0.0000, 0.5000, 0.0000)
Ca (0.3318, 0.0000, 0.6640)
Ca (0.3334, 0.5000, 0.6673)
Ca (0.6682, 0.0000, 0.3360)
Au (0.1716, 0.7440, 0.3413)
Au (0.5000, 0.7380, 0.0000)
Au (0.8284, 0.7440, 0.6587)
Au (0.5000, 0.2620, 0.0000)
Au (0.8284, 0.2560, 0.6587)
Au (0.1716, 0.2560, 0.3413)